[1]
First-principles (PBE) data for a relaxed structure of Ac6Ho2Er, as listed in the Alexandria database.

Its density of states at the Fermi level is 1.716 states/eV/atom. The calculated volume comes out at 729.6 Å³/cell. The electronic total energy is -0.15088 Ha/atom. The value obtained for the formation enthalpy at 0 K is 0.158 eV/atom.

It has space group P2_1/c (No. 14), with a = 6.6353 Å, b = 10.1198 Å, c = 12.7219 Å, α = 90.00°, β = 121.34° and γ = 90.00°. The distinct sites, in fractional coordinates, are Ac at (0.0030, 0.2147, 0.3550), Ac at (0.3304, 0.6553, 0.9798), Ac at (0.3543, 0.1160, 0.7064), Ho at (0.1197, 0.0673, 0.1373) and Er at (0.5000, 0.0000, 0.0000).

[2]
First-principles (PBE) data for a relaxed structure of KMnSi2, as listed in the Alexandria database.

The calculation puts the uncorrected formation energy at 0.793 eV per atom. Its density of states at the Fermi level is 0.327 states/eV/atom. The calculated volume comes out at 78.8 Å³/cell. The electronic total energy is -0.16483 Ha/atom.

It has space group P4/mmm (No. 123), with a = 4.2304 Å, b = 4.2304 Å, c = 4.4049 Å, α = 90.00°, β = 90.00° and γ = 90.00°. The distinct sites, in fractional coordinates, are K at (0.0000, 0.0000, 0.0000), Mn at (0.5000, 0.5000, 0.0000) and Si at (0.0000, 0.5000, 0.5000).

[3]
First-principles (PBE) data for a relaxed structure of Tc2B, as listed in the Alexandria database.

Its density of states at the Fermi level is 0.666 states/eV/atom. The calculated volume comes out at 137.9 Å³/cell. The electronic total energy is -0.34599 Ha/atom. The value obtained for the formation enthalpy at 0 K is -0.278 eV/atom.

It has space group I4/mcm (No. 140), with a = 5.4585 Å, b = 5.4585 Å, c = 4.6273 Å, α = 90.00°, β = 90.00° and γ = 90.00°. The distinct sites, in fractional coordinates, are Tc at (0.1672, 0.3328, 0.0000) and B at (0.0000, 0.0000, 0.2500).

[4]
First-principles (PBE) data for a relaxed structure of TaTiMoPt2, as listed in the Alexandria database.

Its density of states at the Fermi level is 0.690 states/eV/atom. The calculated volume comes out at 98.3 Å³/cell. The electronic total energy is -0.27367 Ha/atom. The value obtained for the formation enthalpy at 0 K is 1.085 eV/atom.

It has space group P4/mmm (No. 123), with a = 4.5637 Å, b = 4.5637 Å, c = 4.7191 Å, α = 90.00°, β = 90.00° and γ = 90.00°. The distinct sites, in fractional coordinates, are Ta at (0.0000, 0.0000, 0.0000), Ti at (0.0000, 0.0000, 0.5000), Mo at (0.5000, 0.5000, 0.0000) and Pt at (0.0000, 0.5000, 0.5000).

[5]
First-principles (PBE) data for a relaxed structure of CaInGa4, as listed in the Alexandria database.

Its density of states at the Fermi level is 0.441 states/eV/atom. The calculated volume comes out at 522.5 Å³/cell. The electronic total energy is -0.11054 Ha/atom. The value obtained for the formation enthalpy at 0 K is -0.200 eV/atom.

It has space group F-43m (No. 216), with a = 8.0542 Å, b = 8.0542 Å, c = 8.0542 Å, α = 90.00°, β = 90.00° and γ = 90.00°. The distinct sites, in fractional coordinates, are Ca at (0.0000, 0.0000, 0.0000), In at (0.2500, 0.2500, 0.7500) and Ga at (0.1252, 0.1252, 0.3748).

[6]
First-principles (PBE) data for a relaxed structure of TiInSb3, as listed in the Alexandria database.

The calculation puts the uncorrected formation energy at 0.093 eV per atom. Its density of states at the Fermi level is 0.850 states/eV/atom. The calculated volume comes out at 149.6 Å³/cell. The electronic total energy is -0.16563 Ha/atom.

It has space group Pm-3m (No. 221), with a = 5.3089 Å, b = 5.3089 Å, c = 5.3089 Å, α = 90.00°, β = 90.00° and γ = 90.00°. The distinct sites, in fractional coordinates, are Ti at (0.0000, 0.0000, 0.0000), In at (0.5000, 0.5000, 0.5000) and Sb at (0.0000, 0.0000, 0.5000).